# 1
Na2FeOs: relaxed, PBE.

Cell lengths 6.1813, 6.1813, 6.1813 Å; angles 98.55, 98.55, 134.64 degrees
Sites, in units of the cell vectors:
Na1 0.1105 0.6250 0.9855
Na2 0.3750 0.3605 0.4855
Na3 0.6395 0.1250 0.0145
Na4 0.8750 0.8895 0.5145
Fe1 0.0000 0.0000 0.0000
Fe2 0.7500 0.2500 0.5000
Os1 0.2500 0.7500 0.5000
Os2 0.5000 0.5000 0.0000

Properties
The value obtained for the total energy is -4.173 eV/atom. As for the space group: I-42d.



# 2
NaFeOs3: relaxed, PBE.

Cell lengths 4.3486, 4.3486, 4.3486 Å; angles 90.00, 90.00, 90.00 degrees
Sites, in units of the cell vectors:
Na1 0.0000 0.0000 0.0000
Fe1 0.5000 0.5000 0.5000
Os1 0.0000 0.0000 0.5000
Os2 0.0000 0.5000 0.0000
Os3 0.5000 0.0000 0.0000

Properties
The value obtained for the total energy is -5.387 eV/atom. As for the space group: Pm-3m.



# 3
Na2FeOs: relaxed, PBE.

Cell lengths 4.6844, 4.6844, 4.6844 Å; angles 60.00, 60.00, 60.00 degrees
Sites, in units of the cell vectors:
Na1 0.2500 0.2500 0.2500
Na2 0.7500 0.7500 0.7500
Fe1 0.0000 0.0000 0.0000
Os1 0.5000 0.5000 0.5000

Properties
The value obtained for the total energy is -4.061 eV/atom. As for the space group: Fm-3m.



# 4
NaFeOs3: relaxed, PBE.

Cell lengths 4.4724, 4.4724, 4.4724 Å; angles 90.00, 90.00, 90.00 degrees
Sites, in units of the cell vectors:
Na1 0.0000 0.0000 0.0000
Fe1 0.5000 0.5000 0.5000
Os1 0.0000 0.5000 0.5000
Os2 0.5000 0.0000 0.5000
Os3 0.5000 0.5000 0.0000

Properties
The value obtained for the total energy is -6.977 eV/atom. As for the space group: Pm-3m.



# 5
NaFe2OsPd: relaxed, PBE.

Cell lengths 4.4716, 4.4716, 5.1584 Å; angles 90.00, 90.00, 90.00 degrees
Sites, in units of the cell vectors:
Na1 0.0000 0.0000 0.0000
Fe1 0.0000 0.5000 0.5000
Fe2 0.5000 0.0000 0.5000
Os1 0.0000 0.0000 0.5000
Pd1 0.5000 0.5000 0.0000

Properties
The value obtained for the total energy is -5.488 eV/atom. As for the space group: P4/mmm.



# 6
NaFe2ReOs: relaxed, PBE.

Cell lengths 4.7504, 4.7504, 4.7154 Å; angles 90.00, 90.00, 90.00 degrees
Sites, in units of the cell vectors:
Na1 0.0000 0.0000 0.0000
Fe1 0.0000 0.5000 0.5000
Fe2 0.5000 0.0000 0.5000
Re1 0.5000 0.5000 0.0000
Os1 0.5000 0.5000 0.5000

Properties
The value obtained for the total energy is -6.936 eV/atom. As for the space group: P4/mmm.



# 7
Na2FeReOs: relaxed, PBE.

Cell lengths 5.2507, 5.2507, 4.6547 Å; angles 90.00, 90.00, 90.00 degrees
Sites, in units of the cell vectors:
Na1 0.0000 0.5000 0.0000
Na2 0.5000 0.0000 0.0000
Fe1 0.0000 0.0000 0.5000
Re1 0.5000 0.5000 0.5000
Os1 0.5000 0.5000 0.0000

Properties
The value obtained for the total energy is -5.001 eV/atom. As for the space group: P4/mmm.



# 8
Na2FeOsSe: relaxed, PBE.

Cell lengths 5.2297, 5.2297, 4.5524 Å; angles 90.00, 90.00, 90.00 degrees
Sites, in units of the cell vectors:
Na1 0.0000 0.5000 0.0000
Na2 0.5000 0.0000 0.0000
Fe1 0.0000 0.0000 0.5000
Os1 0.5000 0.5000 0.5000
Se1 0.0000 0.0000 0.0000

Properties
The uncorrected formation energy is 1.115 eV per atom. As for the space group: P4/mmm.



# 9
NaFe2TeOs: relaxed, PBE.

Cell lengths 4.5858, 4.5858, 5.3536 Å; angles 90.00, 90.00, 90.00 degrees
Sites, in units of the cell vectors:
Na1 0.0000 0.0000 0.0000
Fe1 0.0000 0.5000 0.5000
Fe2 0.5000 0.0000 0.5000
Te1 0.5000 0.5000 0.0000
Os1 0.0000 0.0000 0.5000

Properties
The uncorrected formation energy is 1.175 eV per atom. As for the space group: P4/mmm.



# 10
NaTiFeOs2: relaxed, PBE.

Cell lengths 4.4642, 4.4642, 4.1481 Å; angles 90.00, 90.00, 90.00 degrees
Sites, in units of the cell vectors:
Na1 0.0000 0.0000 0.0000
Ti1 0.0000 0.0000 0.5000
Fe1 0.5000 0.5000 0.5000
Os1 0.0000 0.5000 0.0000
Os2 0.5000 0.0000 0.0000

Properties
The value obtained for the total energy is -5.383 eV/atom. As for the space group: P4/mmm.



# 11
NaFe2P: relaxed, PBE.

Cell lengths 8.2638, 8.2638, 8.2638 Å; angles 149.58, 149.58, 43.56 degrees
Sites, in units of the cell vectors:
Na1 0.0000 0.0000 0.0000
Na2 0.7500 0.2500 0.5000
Fe1 0.3524 0.1250 0.7274
Fe2 0.3750 0.6476 0.7726
Fe3 0.3976 0.6250 0.2726
Fe4 0.8750 0.6024 0.2274
P1 0.2500 0.7500 0.5000
P2 0.5000 0.5000 0.0000

Properties
The value obtained for the total energy is -5.395 eV/atom. As for the space group: I-42d.



# 12
Na2FeP: relaxed, PBE.

Cell lengths 8.1117, 8.1117, 8.1117 Å; angles 93.91, 93.91, 149.71 degrees
Sites, in units of the cell vectors:
Na1 0.3750 0.1171 0.2421
Na2 0.8671 0.6250 0.7421
Na3 0.8750 0.1329 0.7579
Na4 0.8829 0.1250 0.2579
Fe1 0.2500 0.7500 0.5000
Fe2 0.5000 0.5000 0.0000
P1 0.0000 0.0000 0.0000
P2 0.7500 0.2500 0.5000

Properties
The value obtained for the total energy is -4.005 eV/atom. As for the space group: I-42d.



# 13
Na2FeP2: relaxed, PBE.

Cell lengths 5.8155, 5.8155, 4.8428 Å; angles 90.00, 90.00, 90.00 degrees
Sites, in units of the cell vectors:
Na1 0.1797 0.3203 0.0000
Na2 0.3203 0.8203 0.0000
Na3 0.6797 0.1797 0.0000
Na4 0.8203 0.6797 0.0000
Fe1 0.0000 0.0000 0.5000
Fe2 0.5000 0.5000 0.5000
P1 0.1405 0.6405 0.5000
P2 0.3595 0.1405 0.5000
P3 0.6405 0.8595 0.5000
P4 0.8595 0.3595 0.5000

Properties
The value obtained for the total energy is -4.695 eV/atom. As for the space group: P4/mbm.



# 14
NaFe4P12: relaxed, PBE.

Cell lengths 6.7523, 6.7523, 6.7523 Å; angles 109.47, 109.47, 109.47 degrees
Sites, in units of the cell vectors:
Na1 0.0000 0.0000 0.0000
Fe1 0.0000 0.0000 0.5000
Fe2 0.0000 0.5000 0.0000
Fe3 0.5000 0.0000 0.0000
Fe4 0.5000 0.5000 0.5000
P1 0.1484 0.5017 0.3533
P2 0.1484 0.7950 0.6467
P3 0.2050 0.3533 0.8516
P4 0.3533 0.1484 0.5017
P5 0.3533 0.8516 0.2050
P6 0.4983 0.6467 0.8516
P7 0.5017 0.3533 0.1484
P8 0.6467 0.1484 0.7950
P9 0.6467 0.8516 0.4983
P10 0.7950 0.6467 0.1484
P11 0.8516 0.2050 0.3533
P12 0.8516 0.4983 0.6467

Properties
The value obtained for the total energy is -6.287 eV/atom. As for the space group: Im-3.



# 15
NaFePPd: relaxed, PBE.

Cell lengths 3.7297, 3.7297, 10.3504 Å; angles 90.00, 90.00, 90.00 degrees
Sites, in units of the cell vectors:
Na1 0.2500 0.2500 0.2344
Na2 0.7500 0.7500 0.7656
Fe1 0.2500 0.7500 0.5000
Fe2 0.7500 0.2500 0.5000
P1 0.2500 0.2500 0.6093
P2 0.7500 0.7500 0.3907
Pd1 0.2500 0.7500 0.0000
Pd2 0.7500 0.2500 0.0000

Properties
The value obtained for the total energy is -5.331 eV/atom. As for the space group: P4/nmm.



# 16
Na2FePPd: relaxed, PBE.

Cell lengths 5.2005, 5.2005, 4.2061 Å; angles 90.00, 90.00, 90.00 degrees
Sites, in units of the cell vectors:
Na1 0.0000 0.5000 0.0000
Na2 0.5000 0.0000 0.0000
Fe1 0.0000 0.0000 0.5000
P1 0.0000 0.0000 0.0000
Pd1 0.5000 0.5000 0.5000

Properties
The value obtained for the total energy is -3.977 eV/atom. As for the space group: P4/mmm.



# 17
NaFeReP2: relaxed, PBE.

Cell lengths 5.6479, 5.6479, 5.6479 Å; angles 139.15, 139.15, 59.14 degrees
Sites, in units of the cell vectors:
Na1 0.0000 0.0000 0.0000
Fe1 0.7500 0.2500 0.5000
Re1 0.2500 0.7500 0.5000
P1 0.3744 0.3744 0.0000
P2 0.6256 0.6256 0.0000

Properties
The value obtained for the total energy is -6.955 eV/atom. As for the space group: I-4m2.



# 18
NaFePS2: relaxed, PBE.

Cell lengths 4.7386, 4.7386, 4.2801 Å; angles 90.00, 90.00, 90.00 degrees
Sites, in units of the cell vectors:
Na1 0.0000 0.0000 0.0000
Fe1 0.5000 0.5000 0.5000
P1 0.5000 0.5000 0.0000
S1 0.0000 0.5000 0.5000
S2 0.5000 0.0000 0.5000

Properties
The uncorrected formation energy is -0.001 eV per atom. As for the space group: P4/mmm.



# 19
NaFePS2: relaxed, PBE.

Cell lengths 4.8232, 4.8232, 4.7497 Å; angles 90.00, 90.00, 90.00 degrees
Sites, in units of the cell vectors:
Na1 0.0000 0.0000 0.0000
Fe1 0.5000 0.5000 0.5000
P1 0.0000 0.0000 0.5000
S1 0.0000 0.5000 0.0000
S2 0.5000 0.0000 0.0000

Properties
The uncorrected formation energy is 1.393 eV per atom. As for the space group: P4/mmm.



# 20
Na2FeSiP: relaxed, PBE.

Cell lengths 5.6363, 5.6363, 4.4260 Å; angles 90.00, 90.00, 90.00 degrees
Sites, in units of the cell vectors:
Na1 0.0000 0.5000 0.0000
Na2 0.5000 0.0000 0.0000
Fe1 0.0000 0.0000 0.5000
Si1 0.5000 0.5000 0.0000
P1 0.5000 0.5000 0.5000

Properties
The uncorrected formation energy is 0.923 eV per atom. As for the space group: P4/mmm.



# 21
NaPaFeS4: relaxed, PBE.

Cell lengths 6.4817, 5.8370, 8.3157 Å; angles 90.00, 107.87, 90.00 degrees
Sites, in units of the cell vectors:
Na1 0.2140 0.2500 0.4400
Na2 0.7860 0.7500 0.5600
Pa1 0.2404 0.2500 0.9381
Pa2 0.7596 0.7500 0.0619
Fe1 0.2645 0.7500 0.1807
Fe2 0.7355 0.2500 0.8193
S1 0.0668 0.7500 0.3565
S2 0.0682 0.7500 0.9060
S3 0.4837 0.5134 0.7826
S4 0.4837 0.9866 0.7826
S5 0.5163 0.0134 0.2174
S6 0.5163 0.4866 0.2174
S7 0.9318 0.2500 0.0940
S8 0.9332 0.2500 0.6435

Properties
The uncorrected formation energy is -1.094 eV per atom. As for the space group: P2_1/m.



# 22
NaFe3Pb: relaxed, PBE.

Cell lengths 4.5827, 4.5827, 4.5827 Å; angles 90.00, 90.00, 90.00 degrees
Sites, in units of the cell vectors:
Na1 0.0000 0.0000 0.0000
Fe1 0.0000 0.0000 0.5000
Fe2 0.0000 0.5000 0.0000
Fe3 0.5000 0.0000 0.0000
Pb1 0.5000 0.5000 0.5000

Properties
The value obtained for the total energy is -4.453 eV/atom. As for the space group: Pm-3m.



# 23
Na3FePb: relaxed, PBE.

Cell lengths 5.4227, 5.4227, 5.4227 Å; angles 90.00, 90.00, 90.00 degrees
Sites, in units of the cell vectors:
Na1 0.0000 0.0000 0.5000
Na2 0.0000 0.5000 0.0000
Na3 0.5000 0.0000 0.0000
Fe1 0.0000 0.0000 0.0000
Pb1 0.5000 0.5000 0.5000

Properties
The value obtained for the total energy is -2.432 eV/atom. As for the space group: Pm-3m.



# 24
NaFe3Pb: relaxed, PBE.

Cell lengths 5.0402, 5.0402, 5.0402 Å; angles 90.00, 90.00, 90.00 degrees
Sites, in units of the cell vectors:
Na1 0.0000 0.0000 0.0000
Fe1 0.0000 0.5000 0.5000
Fe2 0.5000 0.0000 0.5000
Fe3 0.5000 0.5000 0.0000
Pb1 0.5000 0.5000 0.5000

Properties
The value obtained for the total energy is -4.668 eV/atom. As for the space group: Pm-3m.



# 25
Na2Fe2Pb: relaxed, PBE.

Cell lengths 7.4837, 7.4837, 7.4837 Å; angles 148.85, 148.85, 44.63 degrees
Sites, in units of the cell vectors:
Na1 0.2500 0.7500 0.5000
Na2 0.7500 0.2500 0.5000
Fe1 0.0777 0.0777 0.0000
Fe2 0.9223 0.9223 0.0000
Pb1 0.5000 0.5000 0.0000

Properties
The value obtained for the total energy is -3.932 eV/atom. As for the space group: I4/mmm.



# 26
NaFePb2: relaxed, PBE.

Cell lengths 8.6822, 8.6822, 8.6822 Å; angles 139.13, 139.13, 59.17 degrees
Sites, in units of the cell vectors:
Na1 0.0000 0.0000 0.0000
Na2 0.7500 0.2500 0.5000
Fe1 0.2500 0.7500 0.5000
Fe2 0.5000 0.5000 0.0000
Pb1 0.2781 0.6250 0.1531
Pb2 0.3750 0.5281 0.6531
Pb3 0.4719 0.1250 0.8469
Pb4 0.8750 0.7219 0.3469

Properties
The value obtained for the total energy is -3.682 eV/atom. As for the space group: I-42d.



In the order shown, the computed Fermi-level density of states values come out to 0.878, 1.786, 1.004, 1.690, 1.294, 1.135, 1.195, 1.137, 1.140, 1.825, 1.500, 0.952, 0.024, 0.747, 0.881, 0.787, 0.573, 0.984, 1.384, 1.646, 0.630, 0.656, 1.374, 0.970, 0.478, 1.170 states/eV per atom.
In the order shown, the computed size of the total moment values come out to 1.1615, 0.0000, 1.2290, 0.0000, 0.9577, 1.0390, 0.4227, 1.1998, 1.1306, 0.0164, 0.0000, 0.4960, 0.0000, 0.0974, 0.0002, 0.4398, 0.2435, 0.4933, 0.7332, 0.7556, 0.4236, 1.7221, 0.5800, 1.7717, 1.1706, 0.0001 μB per atom.